## LiErCd2 (GGA-PBE)

Data for a geometry-optimized LiErCd2 structure. Values from VASP.

Quantum ESPRESSO input file:
```
&SYSTEM
  ibrav = 0, nat = 12, ntyp = 3
/
ATOMIC_SPECIES
Li 6.94 Li.upf
Er 167.26 Er.upf
Cd 112.41 Cd.upf
CELL_PARAMETERS angstrom
3.392 0.000 0.000
-1.696 2.938 0.000
0.000 0.000 28.659
ATOMIC_POSITIONS angstrom
Li 0.000 0.000 0.000
Li 0.000 1.959 19.106
Li 1.696 0.979 9.553
Er 0.000 0.000 23.832
Er 0.000 1.959 14.279
Er 1.696 0.979 4.726
Cd 0.000 0.000 11.706
Cd 0.000 0.000 16.879
Cd 0.000 1.959 2.153
Cd 0.000 1.959 7.326
Cd 1.696 0.979 21.259
Cd 1.696 0.979 26.432
```

Summary:
Size of the total moment ... 0.00 μB/f.u.
DOS(E_F) ... 0.66 states/eV per atom
Mass density ... 6.959 g cm⁻³
Energy of formation from the pure elements ... -0.39 eV/f.u.
Space group ... R3m

---

## LiErCd (GGA-PBE)

Data for a geometry-optimized LiErCd structure. Values from VASP.

Quantum ESPRESSO input file:
```
&SYSTEM
  ibrav = 0, nat = 3, ntyp = 3
/
ATOMIC_SPECIES
Li 6.94 Li.upf
Er 167.26 Er.upf
Cd 112.41 Cd.upf
CELL_PARAMETERS angstrom
4.965 0.000 0.000
-2.483 4.300 0.000
0.000 0.000 3.219
ATOMIC_POSITIONS angstrom
Li 0.000 0.000 0.000
Er 2.483 1.433 1.610
Cd 0.000 2.867 0.000
```

Summary:
Size of the total moment ... 0.00 μB/f.u.
DOS(E_F) ... 0.59 states/eV per atom
Mass density ... 6.924 g cm⁻³
Energy of formation from the pure elements ... -0.45 eV/f.u.
Space group ... P-6m2

---

## LiEr6Cd5 (GGA-PBE)

Data for a geometry-optimized LiEr6Cd5 structure. Values from VASP.

Quantum ESPRESSO input file:
```
&SYSTEM
  ibrav = 0, nat = 12, ntyp = 3
/
ATOMIC_SPECIES
Li 6.94 Li.upf
Er 167.26 Er.upf
Cd 112.41 Cd.upf
CELL_PARAMETERS angstrom
2.615 -7.864 0.000
2.615 7.864 0.000
0.000 0.000 7.424
ATOMIC_POSITIONS angstrom
Li 0.000 0.000 0.000
Er 2.615 5.242 1.838
Er 2.615 5.242 5.586
Er 2.615 0.000 1.857
Er 2.615 0.000 5.567
Er 2.615 -5.242 1.838
Er 2.615 -5.242 5.586
Cd 0.000 0.000 3.712
Cd 2.615 2.624 3.712
Cd 2.615 2.538 0.000
Cd 2.615 -2.538 0.000
Cd 2.615 -2.624 3.712
```

Summary:
Size of the total moment ... 0.00 μB/f.u.
DOS(E_F) ... 1.05 states/eV per atom
Mass density ... 8.553 g cm⁻³
Energy of formation from the pure elements ... -3.02 eV/f.u.
Space group ... Cmmm

---

## LiErLuCd (GGA-PBE)

Data for a geometry-optimized LiErLuCd structure. Values from VASP.

Quantum ESPRESSO input file:
```
&SYSTEM
  ibrav = 0, nat = 16, ntyp = 4
/
ATOMIC_SPECIES
Li 6.94 Li.upf
Er 167.26 Er.upf
Lu 174.97 Lu.upf
Cd 112.41 Cd.upf
CELL_PARAMETERS angstrom
7.338 0.000 0.000
0.000 7.338 0.000
0.000 0.000 7.338
ATOMIC_POSITIONS angstrom
Li 0.000 0.000 0.000
Li 0.000 3.669 3.669
Li 3.669 0.000 3.669
Li 3.669 3.669 0.000
Er 1.834 1.834 5.503
Er 1.834 5.503 1.834
Er 5.503 1.834 1.834
Er 5.503 5.503 5.503
Lu 1.834 1.834 1.834
Lu 1.834 5.503 5.503
Lu 5.503 1.834 5.503
Lu 5.503 5.503 1.834
Cd 0.000 0.000 3.669
Cd 0.000 3.669 0.000
Cd 3.669 0.000 0.000
Cd 3.669 3.669 3.669
```

Summary:
Size of the total moment ... 0.00 μB/f.u.
DOS(E_F) ... 1.23 states/eV per atom
Mass density ... 7.760 g cm⁻³
Energy of formation from the pure elements ... -0.43 eV/f.u.
Space group ... F-43m

---

## Li2ErMgCd4 (GGA-PBE)

Data for a geometry-optimized Li2ErMgCd4 structure. Values from VASP.

Quantum ESPRESSO input file:
```
&SYSTEM
  ibrav = 0, nat = 8, ntyp = 4
/
ATOMIC_SPECIES
Li 6.94 Li.upf
Er 167.26 Er.upf
Mg 24.30 Mg.upf
Cd 112.41 Cd.upf
CELL_PARAMETERS angstrom
2.414 1.394 8.557
-2.414 1.394 8.557
0.000 -2.787 8.557
ATOMIC_POSITIONS angstrom
Li 0.000 0.000 6.288
Li 0.000 0.000 19.384
Er 0.000 0.000 0.000
Mg 0.000 0.000 12.836
Cd 0.000 0.000 3.175
Cd 0.000 0.000 9.896
Cd 0.000 0.000 15.776
Cd 0.000 0.000 22.497
```

Summary:
Size of the total moment ... 0.00 μB/f.u.
DOS(E_F) ... 0.47 states/eV per atom
Mass density ... 6.299 g cm⁻³
Energy of formation from the pure elements ... -1.58 eV/f.u.
Space group ... R-3m

---

## LiErMg2Cd4 (GGA-PBE)

Data for a geometry-optimized LiErMg2Cd4 structure. Values from VASP.

Quantum ESPRESSO input file:
```
&SYSTEM
  ibrav = 0, nat = 8, ntyp = 4
/
ATOMIC_SPECIES
Li 6.94 Li.upf
Er 167.26 Er.upf
Mg 24.30 Mg.upf
Cd 112.41 Cd.upf
CELL_PARAMETERS angstrom
2.470 1.426 8.269
-2.470 1.426 8.269
0.000 -2.852 8.269
ATOMIC_POSITIONS angstrom
Li 0.000 0.000 0.000
Er 0.000 0.000 12.403
Mg 0.000 0.000 6.167
Mg 0.000 0.000 18.638
Cd 0.000 0.000 2.900
Cd 0.000 0.000 9.213
Cd 0.000 0.000 15.592
Cd 0.000 0.000 21.906
```

Summary:
Size of the total moment ... 0.00 μB/f.u.
DOS(E_F) ... 0.53 states/eV per atom
Mass density ... 6.392 g cm⁻³
Energy of formation from the pure elements ... -1.80 eV/f.u.
Space group ... R-3m

---

## LiErMgCd (GGA-PBE)

Data for a geometry-optimized LiErMgCd structure. Values from VASP.

Quantum ESPRESSO input file:
```
&SYSTEM
  ibrav = 0, nat = 16, ntyp = 4
/
ATOMIC_SPECIES
Li 6.94 Li.upf
Er 167.26 Er.upf
Mg 24.30 Mg.upf
Cd 112.41 Cd.upf
CELL_PARAMETERS angstrom
7.071 0.000 0.000
0.000 7.071 0.000
0.000 0.000 7.071
ATOMIC_POSITIONS angstrom
Li 0.000 0.000 0.000
Li 0.000 3.535 3.535
Li 3.535 0.000 3.535
Li 3.535 3.535 0.000
Er 1.768 1.768 1.768
Er 1.768 5.303 5.303
Er 5.303 1.768 5.303
Er 5.303 5.303 1.768
Mg 1.768 1.768 5.303
Mg 1.768 5.303 1.768
Mg 5.303 1.768 1.768
Mg 5.303 5.303 5.303
Cd 0.000 0.000 3.535
Cd 0.000 3.535 0.000
Cd 3.535 0.000 0.000
Cd 3.535 3.535 3.535
```

Summary:
Size of the total moment ... 0.00 μB/f.u.
DOS(E_F) ... 0.53 states/eV per atom
Mass density ... 5.842 g cm⁻³
Energy of formation from the pure elements ... -0.75 eV/f.u.
Space group ... F-43m

---

## Li2Er2MgCd5 (GGA-PBE)

Data for a geometry-optimized Li2Er2MgCd5 structure. Values from VASP.

Quantum ESPRESSO input file:
```
&SYSTEM
  ibrav = 0, nat = 20, ntyp = 4
/
ATOMIC_SPECIES
Li 6.94 Li.upf
Er 167.26 Er.upf
Mg 24.30 Mg.upf
Cd 112.41 Cd.upf
CELL_PARAMETERS angstrom
10.536 0.000 0.000
0.000 10.536 0.000
0.000 0.000 3.864
ATOMIC_POSITIONS angstrom
Li 1.251 4.017 0.000
Li 4.017 9.285 0.000
Li 6.520 1.251 0.000
Li 9.285 6.520 0.000
Er 1.891 7.159 0.000
Er 3.378 1.891 0.000
Er 7.159 8.646 0.000
Er 8.646 3.378 0.000
Mg 0.000 0.000 0.000
Mg 5.268 5.268 0.000
Cd 0.000 5.268 1.932
Cd 0.648 2.179 1.932
Cd 2.179 9.888 1.932
Cd 3.089 4.620 1.932
Cd 4.620 7.448 1.932
Cd 5.268 0.000 1.932
Cd 5.916 3.089 1.932
Cd 7.448 5.916 1.932
Cd 8.357 0.648 1.932
Cd 9.888 8.357 1.932
```

Summary:
Size of the total moment ... 0.00 μB/f.u.
DOS(E_F) ... 0.48 states/eV per atom
Mass density ... 7.236 g cm⁻³
Energy of formation from the pure elements ... -2.17 eV/f.u.
Space group ... P4/mbm

---

## Li2NdErCd4 (GGA-PBE)

Data for a geometry-optimized Li2NdErCd4 structure. Values from VASP.

Quantum ESPRESSO input file:
```
&SYSTEM
  ibrav = 0, nat = 8, ntyp = 4
/
ATOMIC_SPECIES
Li 6.94 Li.upf
Nd 144.24 Nd.upf
Er 167.26 Er.upf
Cd 112.41 Cd.upf
CELL_PARAMETERS angstrom
2.543 1.468 8.355
-2.543 1.468 8.355
0.000 -2.937 8.355
ATOMIC_POSITIONS angstrom
Li 0.000 0.000 6.225
Li 0.000 0.000 18.840
Nd 0.000 0.000 0.000
Er 0.000 0.000 12.533
Cd 0.000 0.000 3.197
Cd 0.000 0.000 9.482
Cd 0.000 0.000 15.584
Cd 0.000 0.000 21.869
```

Summary:
Size of the total moment ... 0.00 μB/f.u.
DOS(E_F) ... 0.75 states/eV per atom
Mass density ... 6.875 g cm⁻³
Energy of formation from the pure elements ... -2.08 eV/f.u.
Space group ... R-3m

---

## LiErCdNi (GGA-PBE)

Data for a geometry-optimized LiErCdNi structure. Values from VASP.

Quantum ESPRESSO input file:
```
&SYSTEM
  ibrav = 0, nat = 16, ntyp = 4
/
ATOMIC_SPECIES
Li 6.94 Li.upf
Er 167.26 Er.upf
Cd 112.41 Cd.upf
Ni 58.69 Ni.upf
CELL_PARAMETERS angstrom
6.607 0.000 0.000
0.000 6.607 0.000
0.000 0.000 6.607
ATOMIC_POSITIONS angstrom
Li 0.000 0.000 0.000
Li 0.000 3.304 3.304
Li 3.304 0.000 3.304
Li 3.304 3.304 0.000
Er 1.652 1.652 1.652
Er 1.652 4.955 4.955
Er 4.955 1.652 4.955
Er 4.955 4.955 1.652
Cd 1.652 1.652 4.955
Cd 1.652 4.955 1.652
Cd 4.955 1.652 1.652
Cd 4.955 4.955 4.955
Ni 0.000 0.000 3.304
Ni 0.000 3.304 0.000
Ni 3.304 0.000 0.000
Ni 3.304 3.304 3.304
```

Summary:
Size of the total moment ... 0.02 μB/f.u.
DOS(E_F) ... 1.21 states/eV per atom
Mass density ... 7.951 g cm⁻³
Energy of formation from the pure elements ... -0.82 eV/f.u.
Space group ... F-43m

---

## LiErCdPb (GGA-PBE)

Data for a geometry-optimized LiErCdPb structure. Values from VASP.

Quantum ESPRESSO input file:
```
&SYSTEM
  ibrav = 0, nat = 4, ntyp = 4
/
ATOMIC_SPECIES
Li 6.94 Li.upf
Er 167.26 Er.upf
Cd 112.41 Cd.upf
Pb 207.20 Pb.upf
CELL_PARAMETERS angstrom
4.190 0.000 0.000
0.000 4.680 0.000
0.000 0.000 4.892
ATOMIC_POSITIONS angstrom
Li 0.000 0.000 0.000
Er 0.000 2.340 2.446
Cd 2.095 2.340 0.000
Pb 2.095 0.000 2.446
```

Summary:
Size of the total moment ... 0.00 μB/f.u.
DOS(E_F) ... 0.41 states/eV per atom
Mass density ... 8.547 g cm⁻³
Energy of formation from the pure elements ... -1.37 eV/f.u.
Space group ... Pmmm

---

## LiErCdPb (GGA-PBE)

Data for a geometry-optimized LiErCdPb structure. Values from VASP.

Quantum ESPRESSO input file:
```
&SYSTEM
  ibrav = 0, nat = 16, ntyp = 4
/
ATOMIC_SPECIES
Li 6.94 Li.upf
Er 167.26 Er.upf
Cd 112.41 Cd.upf
Pb 207.20 Pb.upf
CELL_PARAMETERS angstrom
7.273 0.000 0.000
0.000 7.273 0.000
0.000 0.000 7.273
ATOMIC_POSITIONS angstrom
Li 0.000 0.000 0.000
Li 0.000 3.636 3.636
Li 3.636 0.000 3.636
Li 3.636 3.636 0.000
Er 0.000 0.000 3.636
Er 0.000 3.636 0.000
Er 3.636 0.000 0.000
Er 3.636 3.636 3.636
Cd 1.818 1.818 5.454
Cd 1.818 5.454 1.818
Cd 5.454 1.818 1.818
Cd 5.454 5.454 5.454
Pb 1.818 1.818 1.818
Pb 1.818 5.454 5.454
Pb 5.454 1.818 5.454
Pb 5.454 5.454 1.818
```

Summary:
Size of the total moment ... 0.00 μB/f.u.
DOS(E_F) ... 0.33 states/eV per atom
Mass density ... 8.527 g cm⁻³
Energy of formation from the pure elements ... -1.38 eV/f.u.
Space group ... F-43m